Record 1
Crystalline HPdW2 at its relaxed geometry. Source: Alexandria via LeMat-Bulk, functional GGA-PBE.

Values from the calculation:
* E above lowest polymorph: 120 meV/atom
* crystal system: trigonal

Cell lengths 2.8105, 2.8105, 23.1451 Å; angles 90.00, 90.00, 120.00 degrees
Space group R-3m (No. 166, hexagonal axes)
Unique sites:
1 H 0.0000 0.0000 0.0000 (multiplicity 3)
2 Pd 0.0000 0.0000 0.5000 (multiplicity 3)
3 W 0.0000 0.0000 0.3873 (multiplicity 6)

***

Record 2
Crystalline Pm8CoAu2 at its relaxed geometry. Source: Alexandria via LeMat-Bulk, functional GGA-PBE.

Values from the calculation:
* crystal system: monoclinic
* E_form: -0.284 eV/atom

Cell lengths 20.413, 4.055, 8.052 Å; angles 90.00, 90.81, 90.00 degrees
Space group C2/m (No. 12)
Unique sites:
1 Pm 0.007 0.000 0.281 (multiplicity 4)
2 Pm 0.099 0.500 0.977 (multiplicity 4)
3 Pm 0.134 0.500 0.518 (multiplicity 4)
4 Pm 0.234 0.000 0.819 (multiplicity 4)
5 Co 0.000 0.500 0.500 (multiplicity 2)
6 Au 0.160 0.000 0.233 (multiplicity 4)

***

Record 3
Crystalline LaDyHo3Th at its relaxed geometry. Source: Alexandria via LeMat-Bulk, functional GGA-PBE.

Values from the calculation:
* crystal system: monoclinic
* E_form: 0.036 eV/atom

Cell lengths 7.995, 5.067, 10.160 Å; angles 90.00, 108.99, 90.00 degrees
Space group P2_1/m (No. 11)
Unique sites:
1 La 0.169 0.250 0.292 (multiplicity 2)
2 Dy 0.499 0.250 0.629 (multiplicity 2)
3 Ho 0.170 0.750 0.545 (multiplicity 2)
4 Ho 0.176 0.750 0.042 (multiplicity 2)
5 Ho 0.177 0.250 0.794 (multiplicity 2)
6 Th 0.498 0.750 0.879 (multiplicity 2)

***

Record 4
Crystalline Cu6Pd12Pb at its relaxed geometry. Source: Alexandria via LeMat-Bulk, functional GGA-PBE.

Values from the calculation:
* crystal system: trigonal
* E_form: -0.101 eV/atom

Cell lengths 12.0007, 12.0007, 6.8045 Å; angles 90.00, 90.00, 120.00 degrees
Space group R-3 (No. 148, hexagonal axes)
Unique sites:
1 Cu 0.0333 0.2795 0.3287 (multiplicity 18)
2 Pd 0.0116 0.1425 0.6603 (multiplicity 18)
3 Pd 0.0634 0.5592 0.6720 (multiplicity 18)
4 Pb 0.0000 0.0000 0.0000 (multiplicity 3)

***

Record 5
Crystalline LaGa2Pd6 at its relaxed geometry. Source: Alexandria via LeMat-Bulk, functional GGA-PBE.

Values from the calculation:
* crystal system: hexagonal
* E_form: -0.584 eV/atom

Cell lengths 5.6009, 5.6009, 6.6288 Å; angles 90.00, 90.00, 120.00 degrees
Space group P6/mmm (No. 191)
Unique sites:
1 La 0.0000 0.0000 0.0000 (multiplicity 1)
2 Ga 0.3333 0.6667 0.5000 (multiplicity 2)
3 Pd 0.0000 0.5000 0.2081 (multiplicity 6)

***

Record 6
Crystalline V2TcAs2 at its relaxed geometry. Source: Alexandria via LeMat-Bulk, functional GGA-PBE.

Values from the calculation:
* E above lowest polymorph: 526 meV/atom
* crystal system: tetragonal
* E_form: 0.346 eV/atom

Cell lengths 3.484, 3.484, 13.009 Å; angles 90.00, 90.00, 90.00 degrees
Space group I4/mmm (No. 139)
Unique sites:
1 V 0.000 0.000 0.104 (multiplicity 4)
2 Tc 0.000 0.000 0.500 (multiplicity 2)
3 As 0.000 0.500 0.250 (multiplicity 4)

***

Record 7
Crystalline Sr2IrPb at its relaxed geometry. Source: Alexandria via LeMat-Bulk, functional GGA-PBE.

Values from the calculation:
* crystal system: trigonal
* E_form: 0.014 eV/atom

Cell lengths 4.0214, 4.0214, 28.1530 Å; angles 90.00, 90.00, 120.00 degrees
Space group R-3m (No. 166, hexagonal axes)
Unique sites:
1 Sr 0.0000 0.0000 0.2328 (multiplicity 6)
2 Ir 0.0000 0.0000 0.5000 (multiplicity 3)
3 Pb 0.0000 0.0000 0.0000 (multiplicity 3)

***

Record 8
Crystalline RbPu2US8 at its relaxed geometry. Source: Alexandria via LeMat-Bulk, functional GGA-PBE.

Values from the calculation:
* uncorrected formation energy: -24.13 kcal/mol of atoms
* crystal system: triclinic

Cell lengths 6.167, 6.478, 8.407 Å; angles 89.97, 89.93, 89.53 degrees
Space group P-1 (No. 2)
Unique sites:
1 Rb 0.000 0.000 0.000 (multiplicity 1)
2 Pu 0.500 0.500 0.252 (multiplicity 2)
3 U 0.000 0.000 0.500 (multiplicity 1)
4 S 0.246 0.833 0.700 (multiplicity 2)
5 S 0.247 0.834 0.300 (multiplicity 2)
6 S 0.271 0.413 0.000 (multiplicity 2)
7 S 0.275 0.325 0.500 (multiplicity 2)